--- P ---
## BaLiNi2 (PBE)

Data for BaLiNi2 after structural relaxation.

Summary:
Space group ... No. 139
Crystal system ... tetragonal

Geometry as extended XYZ:
```
4
Lattice="-2.189 2.189 4.099 2.189 -2.189 4.099 2.189 2.189 -4.099" Properties=species:S:1:pos:R:3 pbc="T T T"
Ba 0.000 0.000 0.000
Li 0.000 0.000 4.099
Ni 2.189 0.000 2.049
Ni 0.000 2.189 2.049
```

=====

--- Q ---
## BaLiNi2 (PBE)

Data for BaLiNi2 after structural relaxation.

Summary:
Space group ... No. 10
Crystal system ... monoclinic

Geometry as extended XYZ:
```
4
Lattice="4.396 0.000 0.000 0.000 4.213 0.000 -0.581 0.000 4.921" Properties=species:S:1:pos:R:3 pbc="T T T"
Ba 0.000 0.000 0.000
Li 1.908 0.000 2.461
Ni 0.793 2.107 2.777
Ni 3.022 2.107 2.144
```

=====

--- R ---
## BaLiNi2 (PBE)

Data for BaLiNi2 after structural relaxation.

Summary:
Space group ... No. 119
Crystal system ... tetragonal

Geometry as extended XYZ:
```
4
Lattice="-2.209 2.209 3.929 2.209 -2.209 3.929 2.209 2.209 -3.929" Properties=species:S:1:pos:R:3 pbc="T T T"
Ba 0.000 0.000 0.000
Li 2.209 0.000 1.964
Ni 0.000 0.000 3.929
Ni 0.000 2.209 1.964
```

=====

Which of them is most stable, and which least? Most stable: Q; least stable: P.